[1]
The following is a PBE-GGA calculation of a relaxed MgZn2SeO6 crystal, from the Alexandria database.

**Formation energy without anion corrections**: -1293.9 kJ/mol of formula units

a = 5.263 Å, b = 6.519 Å, c = 6.519 Å
α = 86.34°, β = 85.29°, γ = 85.29°
Element x y z (fractional)
Mg 0.250 0.915 0.085
Mg 0.750 0.085 0.915
Zn 0.211 0.780 0.583
Zn 0.289 0.417 0.220
Zn 0.789 0.220 0.417
Zn 0.711 0.583 0.780
Se 0.250 0.260 0.740
Se 0.750 0.740 0.260
O 0.128 0.992 0.790
O 0.372 0.210 0.008
O 0.872 0.008 0.210
O 0.628 0.790 0.992
O 0.440 0.856 0.346
O 0.060 0.654 0.144
O 0.560 0.144 0.654
O 0.940 0.346 0.856
O 0.859 0.723 0.520
O 0.641 0.480 0.277
O 0.141 0.277 0.480
O 0.359 0.520 0.723



[2]
The following is a PBE-GGA calculation of a relaxed TaCl3 crystal, from the Alexandria database.

**Formation energy without anion corrections**: -198.3 kJ/mol of formula units

a = 10.560 Å, b = 10.560 Å, c = 10.560 Å
α = 17.06°, β = 17.06°, γ = 17.06°
Element x y z (fractional)
Cl 0.000 0.000 0.000
Cl 0.890 0.890 0.890
Cl 0.110 0.110 0.110
Ta 0.500 0.500 0.500